No. 1
Computed, not measured: a relaxed structure of Pm2Sm4Ho2Tm at the GGA-PBE level of DFT.

Unit cell a=8.049 b=8.049 c=8.019 alpha=107.55 beta=107.55 gamma=36.84
Fractional positions:
Pm (0.112, 0.112, 0.169)
Pm (0.888, 0.888, 0.831)
Sm (0.222, 0.222, 0.831)
Sm (0.445, 0.445, 0.169)
Sm (0.555, 0.555, 0.831)
Sm (0.778, 0.778, 0.169)
Ho (0.334, 0.334, 0.500)
Ho (0.666, 0.666, 0.500)
Tm (0.000, 0.000, 0.500)

Summary:
Space group: C2/m
D(E_F), states/eV per atom: 1.51
Energy, eV/atom: -4.65
Formation energy from the elements, eV per atom: 0.02
Magnetic moment, μB per formula unit: 0.00

=====

No. 2
Computed, not measured: a relaxed structure of AcGe2 at the GGA-PBE level of DFT.

Unit cell a=5.937 b=5.937 c=5.937 alpha=60.00 beta=60.00 gamma=60.00
Fractional positions:
Ac (0.125, 0.125, 0.125)
Ac (0.875, 0.875, 0.875)
Ge (0.000, 0.500, 0.500)
Ge (0.500, 0.000, 0.500)
Ge (0.500, 0.500, 0.000)
Ge (0.500, 0.500, 0.500)

Summary:
Space group: Fd-3m
D(E_F), states/eV per atom: 1.25
Energy above the most stable polymorph in this dataset, meV/atom: 249.2
Energy, eV/atom: -4.81
Formation energy from the elements, eV per atom: -0.36
Magnetic moment, μB per formula unit: 0.00

=====

No. 3
Computed, not measured: a relaxed structure of ZrTlSe2 at the GGA-PBE level of DFT.

Unit cell a=5.050 b=5.050 c=3.529 alpha=90.00 beta=90.00 gamma=96.35
Fractional positions:
Zr (0.000, 0.000, 0.000)
Tl (0.500, 0.500, 0.000)
Se (0.000, 0.500, 0.500)
Se (0.500, 0.000, 0.500)

Summary:
ΔE_f (raw), meV per atom: -379
Space group: Cmmm
D(E_F), states/eV per atom: 0.58
Energy, eV/atom: -4.85
Magnetic moment, μB per formula unit: 0.00

=====

No. 4
Computed, not measured: a relaxed structure of Sr2MgPd at the GGA-PBE level of DFT.

Unit cell a=11.092 b=11.092 c=11.092 alpha=21.80 beta=21.80 gamma=21.80
Fractional positions:
Sr (0.112, 0.112, 0.112)
Sr (0.888, 0.888, 0.888)
Mg (0.000, 0.000, 0.000)
Pd (0.500, 0.500, 0.500)

Summary:
Space group: R-3m
D(E_F), states/eV per atom: 0.82
Energy, eV/atom: -2.59
Formation energy from the elements, eV per atom: -0.05
Magnetic moment, μB per formula unit: 0.00